[1]
# SiNF3, relaxed, DFT PBEsol
data_SiNF3
_chemical_formula_sum 'Si1 N1 F3'
_cell_length_a 3.877
_cell_length_b 3.877
_cell_length_c 3.877
_cell_angle_alpha 90.00
_cell_angle_beta 90.00
_cell_angle_gamma 90.00
_space_group_name_H-M_alt 'P 1'
_space_group_IT_number 1
loop_
_space_group_symop_operation_xyz
'x,y,z'
loop_
_atom_site_label
_atom_site_type_symbol
_atom_site_fract_x
_atom_site_fract_y
_atom_site_fract_z
F1 F 0.000 0.500 0.500
F2 F 0.500 0.000 0.500
F3 F 0.500 0.500 0.000
N1 N 0.500 0.500 0.500
Si1 Si 0.000 0.000 0.000
# - Crystal system: cubic
# - Theoretical density: 2.8 g/cm³
# - Space group: Pm-3m (221)
# - Total DFT energy (no corrections): -3.68 eV/atom
# - Formation energy without anion corrections: 0.34 eV per atom

=====

[2]
# SiN2F6, relaxed, DFT PBEsol
data_SiN2F6
_chemical_formula_sum 'Si1 N2 F6'
_cell_length_a 4.800
_cell_length_b 4.886
_cell_length_c 4.886
_cell_angle_alpha 120.00
_cell_angle_beta 90.00
_cell_angle_gamma 90.00
_space_group_name_H-M_alt 'P 1'
_space_group_IT_number 1
loop_
_space_group_symop_operation_xyz
'x,y,z'
loop_
_atom_site_label
_atom_site_type_symbol
_atom_site_fract_x
_atom_site_fract_y
_atom_site_fract_z
Si1 Si 0.000 0.000 0.000
N1 N 0.755 0.333 0.667
N2 N 0.245 0.667 0.333
F1 F 0.210 0.677 0.839
F2 F 0.210 0.161 0.839
F3 F 0.210 0.161 0.323
F4 F 0.790 0.323 0.161
F5 F 0.790 0.839 0.161
F6 F 0.790 0.839 0.677
# - Crystal system: trigonal
# - Theoretical density: 2.8 g/cm³
# - Space group: P-3m1 (164)
# - Total DFT energy (no corrections): -4.40 eV/atom
# - Formation energy without anion corrections: -0.58 eV per atom

=====

[3]
# SiN2F6, relaxed, DFT PBEsol
data_SiN2F6
_chemical_formula_sum 'Si1 N2 F6'
_cell_length_a 5.126
_cell_length_b 5.126
_cell_length_c 5.126
_cell_angle_alpha 60.00
_cell_angle_beta 60.00
_cell_angle_gamma 60.00
_space_group_name_H-M_alt 'P 1'
_space_group_IT_number 1
loop_
_space_group_symop_operation_xyz
'x,y,z'
loop_
_atom_site_label
_atom_site_type_symbol
_atom_site_fract_x
_atom_site_fract_y
_atom_site_fract_z
Si1 Si 0.000 0.000 0.000
N1 N 0.750 0.750 0.750
N2 N 0.250 0.250 0.250
F1 F 0.234 0.234 0.766
F2 F 0.766 0.234 0.766
F3 F 0.766 0.234 0.234
F4 F 0.766 0.766 0.234
F5 F 0.234 0.766 0.234
F6 F 0.234 0.766 0.766
# - Crystal system: cubic
# - Theoretical density: 3.0 g/cm³
# - Space group: Fm-3m (225)
# - Total DFT energy (no corrections): -4.38 eV/atom
# - Formation energy without anion corrections: -0.56 eV per atom

=====

[4]
# SrSnNF2, relaxed, DFT PBEsol
data_SrSnNF2
_chemical_formula_sum 'Sr1 Sn1 N1 F2'
_cell_length_a 4.252
_cell_length_b 4.462
_cell_length_c 4.462
_cell_angle_alpha 90.00
_cell_angle_beta 90.00
_cell_angle_gamma 90.00
_space_group_name_H-M_alt 'P 1'
_space_group_IT_number 1
loop_
_space_group_symop_operation_xyz
'x,y,z'
loop_
_atom_site_label
_atom_site_type_symbol
_atom_site_fract_x
_atom_site_fract_y
_atom_site_fract_z
Sr1 Sr 0.500 0.500 0.500
N1 N 0.500 0.000 0.000
Sn1 Sn 0.000 0.000 0.000
F1 F 0.000 0.000 0.500
F2 F 0.000 0.500 0.000
# - Crystal system: tetragonal
# - Theoretical density: 5.1 g/cm³
# - Space group: P4/mmm (123)
# - Total DFT energy (no corrections): -5.29 eV/atom
# - Formation energy without anion corrections: -1.59 eV per atom

=====

Total magnetic moment per entry: 0.73, 4.00, 4.00, 0.00 μB per formula unit